(1)
Ba2Sr6Mg after structural relaxation, computed with PBE.

Computed properties:
Its total energy is -15.0 eV/cell. Its density of states at the Fermi level is 9.90 states/eV/cell. The volume is 484 Å³/f.u.

CIF file:
```
data_Ba2Sr6Mg
_chemical_formula_sum 'Ba2 Sr6 Mg1'
_cell_length_a 4.2613
_cell_length_b 4.2613
_cell_length_c 30.7796
_cell_angle_alpha 90.00
_cell_angle_beta 90.00
_cell_angle_gamma 120.00
_symmetry_space_group_name_H-M 'P -6 m 2'
_symmetry_Int_Tables_number 187
_symmetry_space_group_name_Hall 'P -6 2'
loop_
_atom_site_label
_atom_site_type_symbol
_atom_site_fract_x
_atom_site_fract_y
_atom_site_fract_z
_atom_site_occupancy
Ba1 Ba 0.0000 0.0000 0.1806 1
Sr1 Sr 0.0000 0.0000 0.4133 1
Sr2 Sr 0.6667 0.3333 0.0643 1
Sr3 Sr 0.6667 0.3333 0.2985 1
Mg1 Mg 0.6667 0.3333 0.5000 1
```

***

(2)
BaSr4Mg after structural relaxation, computed with PBE.

Computed properties:
For the offset from the most stable computed form, the calculation gives 0 meV/atom. Its density of states at the Fermi level is 7.19 states/eV/cell. The volume is 302 Å³/f.u.

CIF file:
```
data_BaSr4Mg
_chemical_formula_sum 'Ba1 Sr4 Mg1'
_cell_length_a 4.272
_cell_length_b 4.272
_cell_length_c 16.543
_cell_angle_alpha 90.00
_cell_angle_beta 90.00
_cell_angle_gamma 90.00
_symmetry_space_group_name_H-M 'P 4/m m m'
_symmetry_Int_Tables_number 123
_symmetry_space_group_name_Hall '-P 4 2'
loop_
_atom_site_label
_atom_site_type_symbol
_atom_site_fract_x
_atom_site_fract_y
_atom_site_fract_z
_atom_site_occupancy
Ba1 Ba 0.000 0.000 0.000 1
Sr1 Sr 0.000 0.000 0.378 1
Sr2 Sr 0.500 0.500 0.195 1
Mg1 Mg 0.500 0.500 0.500 1
```

***

(3)
BaSr2Mg9 after structural relaxation, computed with PBE.

Computed properties:
Its total energy is -61.8 eV/cell. Its density of states at the Fermi level is 36.66 states/eV/cell. The volume is 365 Å³/f.u.

CIF file:
```
data_BaSr2Mg9
_chemical_formula_sum 'Ba3 Sr6 Mg27'
_cell_length_a 6.4062
_cell_length_b 6.4062
_cell_length_c 30.8194
_cell_angle_alpha 90.00
_cell_angle_beta 90.00
_cell_angle_gamma 120.00
_symmetry_space_group_name_H-M 'R -3 m'
_symmetry_Int_Tables_number 166
_symmetry_space_group_name_Hall '-R 3 2"'
loop_
_atom_site_label
_atom_site_type_symbol
_atom_site_fract_x
_atom_site_fract_y
_atom_site_fract_z
_atom_site_occupancy
Ba1 Ba 0.0000 0.0000 0.0000 1
Sr1 Sr 0.0000 0.0000 0.1440 1
Mg1 Mg 0.0000 0.0000 0.3340 1
Mg2 Mg 0.0000 0.0000 0.5000 1
Mg3 Mg 0.0018 0.5009 0.9174 1
```

***

(4)
Ba2Sr3Mg4 after structural relaxation, computed with PBE.

Computed properties:
Its total energy is -30.9 eV/cell. Its density of states at the Fermi level is 20.51 states/eV/cell. The volume is 369 Å³/f.u.

CIF file:
```
data_Ba2Sr3Mg4
_chemical_formula_sum 'Ba4 Sr6 Mg8'
_cell_length_a 10.589
_cell_length_b 6.110
_cell_length_c 11.414
_cell_angle_alpha 90.00
_cell_angle_beta 90.05
_cell_angle_gamma 90.00
_symmetry_space_group_name_H-M 'C 1 2/m 1'
_symmetry_Int_Tables_number 12
loop_
_symmetry_equiv_pos_as_xyz
'x,y,z'
'-x,-y,-z'
'-x,y,-z'
'x,-y,z'
'x+1/2,y+1/2,z'
'-x+1/2,-y+1/2,-z'
'-x+1/2,y+1/2,-z'
'x+1/2,-y+1/2,z'
loop_
_atom_site_label
_atom_site_type_symbol
_atom_site_fract_x
_atom_site_fract_y
_atom_site_fract_z
_atom_site_occupancy
Ba1 Ba 0.167 0.000 0.212 1
Sr1 Sr 0.000 0.500 0.000 1
Sr2 Sr 0.166 0.000 0.584 1
Mg1 Mg 0.001 0.500 0.357 1
Mg2 Mg 0.166 0.000 0.902 1
```

***

(5)
BaSr3Mg after structural relaxation, computed with PBE.

Computed properties:
For the offset from the most stable computed form, the calculation gives 0 meV/atom. Its density of states at the Fermi level is 26.22 states/eV/cell. The volume is 248 Å³/f.u.

CIF file:
```
data_BaSr3Mg
_chemical_formula_sum 'Ba4 Sr12 Mg4'
_cell_length_a 23.109
_cell_length_b 4.299
_cell_length_c 10.260
_cell_angle_alpha 90.00
_cell_angle_beta 103.69
_cell_angle_gamma 90.00
_symmetry_space_group_name_H-M 'C 1 m 1'
_symmetry_Int_Tables_number 8
loop_
_symmetry_equiv_pos_as_xyz
'x,y,z'
'x,-y,z'
'x+1/2,y+1/2,z'
'x+1/2,-y+1/2,z'
loop_
_atom_site_label
_atom_site_type_symbol
_atom_site_fract_x
_atom_site_fract_y
_atom_site_fract_z
_atom_site_occupancy
Ba1 Ba 0.000 0.000 0.000 1
Ba2 Ba 0.196 0.000 0.074 1
Sr1 Sr 0.097 0.500 0.728 1
Sr2 Sr 0.099 0.500 0.346 1
Sr3 Sr 0.280 0.500 0.427 1
Sr4 Sr 0.302 0.500 0.844 1
Sr5 Sr 0.395 0.000 0.230 1
Sr6 Sr 0.416 0.000 0.647 1
Mg1 Mg 0.198 0.000 0.603 1
Mg2 Mg 0.499 0.500 0.471 1
```

***

(6)
Ba6SrMg after structural relaxation, computed with PBE.

Computed properties:
For the offset from the most stable computed form, the calculation gives 0 meV/atom. Its density of states at the Fermi level is 25.90 states/eV/cell. The volume is 454 Å³/f.u.

CIF file:
```
data_Ba6SrMg
_chemical_formula_sum 'Ba12 Sr2 Mg2'
_cell_length_a 6.505
_cell_length_b 6.505
_cell_length_c 21.460
_cell_angle_alpha 90.00
_cell_angle_beta 90.00
_cell_angle_gamma 90.00
_symmetry_space_group_name_H-M 'I 4/m m m'
_symmetry_Int_Tables_number 139
_symmetry_space_group_name_Hall '-I 4 2'
loop_
_atom_site_label
_atom_site_type_symbol
_atom_site_fract_x
_atom_site_fract_y
_atom_site_fract_z
_atom_site_occupancy
Ba1 Ba 0.000 0.000 0.247 1
Ba2 Ba 0.000 0.500 0.107 1
Sr1 Sr 0.000 0.000 0.000 1
Mg1 Mg 0.000 0.000 0.500 1
```

***

(7)
BaSrMg3 after structural relaxation, computed with PBE.

Computed properties:
For the offset from the most stable computed form, the calculation gives 129 meV/atom. Its density of states at the Fermi level is 5.14 states/eV/cell. The volume is 236 Å³/f.u.

CIF file:
```
data_BaSrMg3
_chemical_formula_sum 'Ba1 Sr1 Mg3'
_cell_length_a 6.176
_cell_length_b 6.176
_cell_length_c 6.176
_cell_angle_alpha 90.00
_cell_angle_beta 90.00
_cell_angle_gamma 90.00
_symmetry_space_group_name_H-M 'P m -3 m'
_symmetry_Int_Tables_number 221
_symmetry_space_group_name_Hall '-P 4 2 3'
loop_
_atom_site_label
_atom_site_type_symbol
_atom_site_fract_x
_atom_site_fract_y
_atom_site_fract_z
_atom_site_occupancy
Ba1 Ba 0.000 0.000 0.000 1
Sr1 Sr 0.500 0.500 0.500 1
Mg1 Mg 0.000 0.000 0.500 1
```

***

(8)
BaSrMg3 after structural relaxation, computed with PBE.

Computed properties:
For the offset from the most stable computed form, the calculation gives 0 meV/atom. Its density of states at the Fermi level is 7.43 states/eV/cell. The volume is 234 Å³/f.u.

CIF file:
```
data_BaSrMg3
_chemical_formula_sum 'Ba1 Sr1 Mg3'
_cell_length_a 6.164
_cell_length_b 6.164
_cell_length_c 6.164
_cell_angle_alpha 90.00
_cell_angle_beta 90.00
_cell_angle_gamma 90.00
_symmetry_space_group_name_H-M 'P m -3 m'
_symmetry_Int_Tables_number 221
_symmetry_space_group_name_Hall '-P 4 2 3'
loop_
_atom_site_label
_atom_site_type_symbol
_atom_site_fract_x
_atom_site_fract_y
_atom_site_fract_z
_atom_site_occupancy
Ba1 Ba 0.000 0.000 0.000 1
Sr1 Sr 0.500 0.500 0.500 1
Mg1 Mg 0.000 0.500 0.500 1
```

***

Please write out number 3 again, unchanged.
BaSr2Mg9 after structural relaxation, computed with PBE.

Computed properties:
Its total energy is -61.8 eV/cell. Its density of states at the Fermi level is 36.66 states/eV/cell. The volume is 365 Å³/f.u.

CIF file:
```
data_BaSr2Mg9
_chemical_formula_sum 'Ba3 Sr6 Mg27'
_cell_length_a 6.4062
_cell_length_b 6.4062
_cell_length_c 30.8194
_cell_angle_alpha 90.00
_cell_angle_beta 90.00
_cell_angle_gamma 120.00
_symmetry_space_group_name_H-M 'R -3 m'
_symmetry_Int_Tables_number 166
_symmetry_space_group_name_Hall '-R 3 2"'
loop_
_atom_site_label
_atom_site_type_symbol
_atom_site_fract_x
_atom_site_fract_y
_atom_site_fract_z
_atom_site_occupancy
Ba1 Ba 0.0000 0.0000 0.0000 1
Sr1 Sr 0.0000 0.0000 0.1440 1
Mg1 Mg 0.0000 0.0000 0.3340 1
Mg2 Mg 0.0000 0.0000 0.5000 1
Mg3 Mg 0.0018 0.5009 0.9174 1
```

***

Q: Which formula does entry 2 have?
A: BaSr4Mg